[1]
Density functional theory data (PBE) for crystalline KH5C3N2O5 at its relaxed geometry.

Output
- Total energy: -6.373 eV/atom
- SG: Pnnm, No. 58

Unit cell a=7.297 b=7.760 c=12.805 alpha=90.00 beta=90.00 gamma=90.00
Sites, in units of the cell vectors:
1 H 0.500 0.683 0.460
2 H 0.000 0.117 0.923
3 N 0.000 0.734 0.275
4 O 0.000 0.307 0.549
5 H 0.000 0.382 0.413
6 O 0.500 0.056 0.664
7 C 0.000 0.370 0.250
8 C 0.500 0.331 0.753
9 C 0.000 0.169 0.253
10 H 0.500 0.882 0.087
11 C 0.000 0.634 0.360
12 H 0.500 0.179 0.297
13 H 0.500 0.821 0.703
14 H 0.000 0.183 0.040
15 H 0.500 0.635 0.786
16 H 0.500 0.118 0.913
17 O 0.500 0.596 0.335
18 C 0.500 0.130 0.750
19 H 0.500 0.365 0.214
20 K 0.246 0.000 0.500
21 O 0.500 0.597 0.158
22 O 0.500 0.403 0.842
23 O 0.000 0.096 0.165
24 O 0.500 0.807 0.951
25 K 0.754 0.000 0.500
26 O 0.000 0.556 0.836
27 H 0.500 0.317 0.540
28 O 0.500 0.193 0.049
29 N 0.000 0.453 0.344
30 N 0.500 0.047 0.844
31 O 0.000 0.904 0.835
32 C 0.500 0.669 0.247
33 C 0.500 0.870 0.250
34 C 0.500 0.134 0.140
35 H 0.000 0.135 0.714
36 H 0.000 0.817 0.960
37 O 0.500 0.944 0.336
38 O 0.000 0.693 0.451
39 H 0.000 0.865 0.286
40 N 0.500 0.953 0.156
41 O 0.000 0.444 0.164
42 C 0.500 0.866 0.860
43 K 0.254 0.500 0.000
44 H 0.500 0.383 0.423
45 C 0.000 0.366 0.640
46 O 0.000 0.222 0.966
47 N 0.500 0.766 0.775
48 K 0.746 0.500 0.000
49 O 0.000 0.903 0.658
50 N 0.000 0.266 0.725
51 N 0.000 0.547 0.656
52 O 0.500 0.722 0.534
53 O 0.500 0.404 0.665
54 O 0.500 0.278 0.466
55 C 0.000 0.831 0.747
56 N 0.500 0.234 0.225
57 H 0.000 0.321 0.797
58 O 0.000 0.097 0.342
59 H 0.000 0.618 0.587
60 O 0.000 0.778 0.034
61 H 0.500 0.617 0.577
62 C 0.000 0.630 0.750
63 H 0.000 0.679 0.203
64 H 0.000 0.883 0.077

[2]
Density functional theory data (PBE) for crystalline KPH6C2N4O4 at its relaxed geometry.

Output
- Total energy: -6.373 eV/atom
- SG: Fdd2, No. 43

Unit cell a=8.559 b=8.259 c=7.750 alpha=64.54 beta=60.61 gamma=54.85
Sites, in units of the cell vectors:
1 O 0.217 0.062 0.976
2 N 0.217 0.883 0.820
3 O 0.257 0.043 0.395
4 H 0.878 0.530 0.534
5 N 0.629 0.913 0.331
6 N 0.624 0.419 0.837
7 C 0.726 0.498 0.840
8 N 0.867 0.533 0.669
9 H 0.692 0.216 0.220
10 H 0.671 0.792 0.929
11 O 0.976 0.745 0.217
12 P 0.641 0.359 0.641
13 K 0.069 0.431 0.069
14 H 0.534 0.058 0.878
15 O 0.395 0.304 0.257
16 H 0.641 0.772 0.368
17 O 0.446 0.355 0.707
18 N 0.669 0.930 0.867
19 O 0.005 0.774 0.688
20 H 0.141 0.821 0.958
21 K 0.319 0.681 0.319
22 C 0.252 0.024 0.814
23 C 0.814 0.910 0.252
24 H 0.958 0.079 0.141
25 P 0.391 0.109 0.391
26 N 0.820 0.081 0.217
27 N 0.837 0.121 0.624
28 H 0.978 0.109 0.531
29 O 0.688 0.533 0.005
30 O 0.707 0.493 0.446
31 C 0.840 0.936 0.726
32 H 0.531 0.382 0.978
33 H 0.220 0.872 0.692
34 H 0.929 0.609 0.671
35 N 0.331 0.126 0.629
36 H 0.368 0.219 0.641

[3]
Density functional theory data (PBE) for crystalline KPH5C2SN3O4 at its relaxed geometry.

Output
- Total energy: -6.239 eV/atom
- SG: P-1, No. 2

Unit cell a=6.292 b=6.898 c=10.901 alpha=90.85 beta=103.07 gamma=100.82
Sites, in units of the cell vectors:
1 C 0.678 0.795 0.971
2 H 0.066 0.358 0.979
3 O 0.843 0.374 0.852
4 K 0.002 0.166 0.681
5 N 0.799 0.656 0.948
6 O 0.269 0.113 0.923
7 H 0.469 0.086 0.619
8 N 0.429 0.467 0.250
9 H 0.517 0.413 0.682
10 S 0.857 0.325 0.358
11 C 0.258 0.486 0.152
12 P 0.540 0.260 0.277
13 N 0.505 0.821 0.878
14 O 0.608 0.887 0.660
15 S 0.143 0.675 0.642
16 C 0.322 0.205 0.029
17 H 0.934 0.642 0.021
18 O 0.392 0.113 0.340
19 N 0.201 0.344 0.052
20 N 0.495 0.179 0.122
21 H 0.389 0.190 0.497
22 N 0.571 0.533 0.750
23 H 0.483 0.587 0.318
24 H 0.531 0.914 0.381
25 H 0.611 0.810 0.503
26 O 0.394 0.197 0.588
27 O 0.157 0.626 0.148
28 O 0.606 0.803 0.412
29 C 0.742 0.514 0.848
30 P 0.460 0.740 0.723
31 K 0.998 0.834 0.319
32 O 0.731 0.887 0.077
33 H 0.415 0.925 0.898
34 H 0.585 0.075 0.102

[4]
Density functional theory data (PBE) for crystalline K2H2C2S2N2O at its relaxed geometry.

Output
- Total energy: -5.764 eV/atom
- SG: Pnma, No. 62

Unit cell a=8.103 b=9.787 c=10.629 alpha=90.00 beta=90.00 gamma=90.00
Sites, in units of the cell vectors:
1 S 0.250 0.793 0.412
2 N 0.750 0.077 0.940
3 N 0.250 0.923 0.060
4 N 0.750 0.423 0.440
5 C 0.250 0.450 0.593
6 H 0.250 0.320 0.047
7 H 0.250 0.180 0.547
8 S 0.750 0.006 0.187
9 C 0.750 0.119 0.062
10 N 0.750 0.839 0.861
11 S 0.750 0.293 0.088
12 S 0.750 0.494 0.687
13 H 0.750 0.820 0.453
14 K 0.998 0.232 0.328
15 C 0.250 0.619 0.438
16 S 0.250 0.707 0.912
17 O 0.250 0.381 0.973
18 S 0.250 0.994 0.813
19 O 0.750 0.881 0.527
20 K 0.002 0.768 0.672
21 H 0.750 0.975 0.496
22 C 0.750 0.381 0.562
23 K 0.498 0.768 0.672
24 K 0.498 0.732 0.172
25 N 0.250 0.577 0.560
26 K 0.502 0.268 0.828
27 C 0.250 0.881 0.938
28 H 0.750 0.680 0.953
29 H 0.750 0.525 0.996
30 C 0.750 0.550 0.407
31 O 0.250 0.119 0.473
32 K 0.002 0.732 0.172
33 C 0.750 0.950 0.907
34 N 0.750 0.661 0.361
35 H 0.250 0.475 0.004
36 K 0.502 0.232 0.328
37 K 0.998 0.268 0.828
38 S 0.750 0.207 0.588
39 H 0.250 0.025 0.504
40 N 0.250 0.339 0.639
41 C 0.250 0.050 0.093
42 S 0.250 0.506 0.313
43 O 0.750 0.619 0.027
44 N 0.250 0.161 0.139

[5]
Density functional theory data (PBE) for crystalline KHCS2N at its relaxed geometry.

Output
- Total energy: -5.338 eV/atom
- SG: Pbcn, No. 60

Unit cell a=6.860 b=10.942 c=13.229 alpha=90.00 beta=90.00 gamma=90.00
Sites, in units of the cell vectors:
1 S 0.207 0.509 0.611
2 S 0.848 0.242 0.166
3 C 0.787 0.647 0.407
4 C 0.213 0.147 0.407
5 N 0.398 0.690 0.015
6 H 0.519 0.129 0.973
7 K 0.306 0.959 0.647
8 N 0.898 0.690 0.485
9 N 0.602 0.310 0.985
10 S 0.652 0.742 0.334
11 S 0.348 0.258 0.666
12 H 0.981 0.871 0.473
13 K 0.194 0.041 0.147
14 S 0.652 0.758 0.666
15 H 0.519 0.371 0.027
16 S 0.152 0.742 0.166
17 H 0.481 0.871 0.027
18 S 0.207 0.991 0.389
19 H 0.981 0.629 0.527
20 S 0.707 0.991 0.111
21 C 0.213 0.353 0.593
22 H 0.019 0.371 0.473
23 S 0.707 0.509 0.889
24 N 0.898 0.810 0.515
25 K 0.694 0.459 0.647
26 K 0.806 0.959 0.853
27 S 0.293 0.491 0.111
28 S 0.793 0.009 0.611
29 N 0.398 0.810 0.985
30 C 0.287 0.853 0.907
31 K 0.306 0.541 0.353
32 S 0.152 0.758 0.834
33 N 0.102 0.310 0.515
34 C 0.287 0.647 0.093
35 K 0.694 0.041 0.353
36 H 0.481 0.629 0.973
37 K 0.806 0.541 0.147
38 S 0.793 0.491 0.389
39 C 0.713 0.353 0.907
40 H 0.019 0.129 0.527
41 C 0.787 0.853 0.593
42 N 0.102 0.190 0.485
43 S 0.293 0.009 0.889
44 S 0.348 0.242 0.334
45 K 0.194 0.459 0.853
46 N 0.602 0.190 0.015
47 S 0.848 0.258 0.834
48 C 0.713 0.147 0.093

[6]
Density functional theory data (PBE) for crystalline K3NdH6C6O15 at its relaxed geometry.

Output
- Total energy: -6.599 eV/atom
- SG: P-1, No. 2

Unit cell a=8.668 b=9.471 c=9.936 alpha=98.39 beta=91.82 gamma=95.73
Sites, in units of the cell vectors:
1 H 0.625 0.995 0.212
2 O 0.447 0.318 0.929
3 C 0.928 0.976 0.212
4 O 0.685 0.265 0.435
5 O 0.197 0.105 0.826
6 O 0.315 0.735 0.565
7 O 0.876 0.635 0.986
8 C 0.471 0.576 0.002
9 C 0.488 0.576 0.652
10 H 0.632 0.748 0.504
11 C 0.676 0.386 0.399
12 C 0.529 0.424 0.998
13 H 0.849 0.141 0.036
14 O 0.006 0.793 0.338
15 O 0.774 0.157 0.965
16 O 0.012 0.513 0.825
17 K 0.047 0.316 0.384
18 O 0.210 0.518 0.603
19 H 0.724 0.240 0.007
20 K 0.353 0.794 0.303
21 H 0.276 0.760 0.993
22 K 0.953 0.684 0.616
23 C 0.038 0.923 0.318
24 O 0.467 0.961 0.752
25 O 0.325 0.202 0.570
26 O 0.533 0.039 0.248
27 H 0.737 0.885 0.479
28 O 0.607 0.662 0.643
29 H 0.424 0.883 0.680
30 O 0.653 0.416 0.065
31 O 0.675 0.798 0.430
32 O 0.553 0.682 0.071
33 O 0.485 0.458 0.699
34 O 0.124 0.365 0.014
35 H 0.151 0.859 0.964
36 O 0.969 0.094 0.172
37 O 0.851 0.990 0.628
38 H 0.375 0.005 0.788
39 O 0.393 0.338 0.357
40 Nd 0.226 0.358 0.779
41 O 0.347 0.584 0.935
42 C 0.962 0.077 0.682
43 C 0.968 0.543 0.946
44 O 0.994 0.207 0.662
45 K 0.292 0.137 0.112
46 C 0.324 0.614 0.601
47 K 0.647 0.206 0.697
48 O 0.515 0.542 0.301
49 C 0.512 0.424 0.348
50 H 0.263 0.115 0.521
51 O 0.790 0.482 0.397
52 H 0.576 0.117 0.320
53 C 0.072 0.024 0.788
54 O 0.031 0.906 0.828
55 C 0.032 0.457 0.054
56 O 0.803 0.895 0.174
57 K 0.708 0.863 0.888
58 H 0.368 0.252 0.496
59 Nd 0.774 0.642 0.221
60 O 0.988 0.487 0.175
61 O 0.149 0.010 0.372
62 O 0.226 0.843 0.035

| no. | V (Å³ per cell) |
| --- | --- |
| 1 | 725 |
| 2 | 382 |
| 3 | 452 |
| 4 | 843 |
| 5 | 993 |
| 6 | 802 |